(1)
SmFeBPt3 (PBE, relaxed); total energy = -6.933 eV/atom; V = 16.044 Å³/atom
1.0
5.4777 0.0000 0.0000
-2.7388 4.7438 0.0000
0.0000 0.0000 7.4090
Sm Fe B Pt
2 2 2 6
Direct
0.0000 0.0000 0.0000 Sm
0.0000 0.0000 0.5000 Sm
0.3333 0.6667 0.0000 Fe
0.6667 0.3333 0.0000 Fe
0.3333 0.6667 0.5000 B
0.6667 0.3333 0.5000 B
0.0000 0.5000 0.2903 Pt
0.0000 0.5000 0.7097 Pt
0.5000 0.0000 0.2903 Pt
0.5000 0.0000 0.7097 Pt
0.5000 0.5000 0.2903 Pt
0.5000 0.5000 0.7097 Pt



(2)
KTbNd (PBE, relaxed); ΔE to the lowest computed polymorph = 0.4344 eV per atom; V = 44.461 Å³/atom
1.0
0.0000 4.0553 4.0553
4.0553 0.0000 4.0553
4.0553 4.0553 0.0000
K Tb Nd
1 1 1
Direct
0.0000 0.0000 0.0000 K
0.2500 0.2500 0.2500 Tb
0.7500 0.7500 0.7500 Nd



(3)
LiHg3Te4W (PBE, relaxed); total energy = -2.926 eV/atom; V = 48.515 Å³/atom
1.0
7.5865 0.0000 0.0000
0.0000 7.5865 0.0000
0.0000 0.0000 7.5865
Li Hg Te W
1 3 4 1
Direct
0.0000 0.0000 0.0000 Li
0.0000 0.5000 0.5000 Hg
0.5000 0.0000 0.5000 Hg
0.5000 0.5000 0.0000 Hg
0.3038 0.3038 0.3038 Te
0.3038 0.6962 0.6962 Te
0.6962 0.3038 0.6962 Te
0.6962 0.6962 0.3038 Te
0.5000 0.5000 0.5000 W



Look up the V of the third one.
48.515 Å³/atom